A plane-wave DFT calculation with GGA-PBE was carried out for a relaxed structure of Ca2TeI.

Structure (POSCAR):
```
Ca2TeI
1.0
4.435 0.000 0.000
2.218 3.841 0.000
2.218 1.280 7.963
Ca Te I
2 1 1
direct
0.073 0.073 0.781
0.261 0.261 0.216
0.669 0.669 0.992
0.496 0.496 0.511
```

Computed properties:
- Relative energy among the computed polymorphs: 0.06 eV per formula unit
- Crystal system: trigonal
- Raw formation energy: -1.29 eV per atom
- Magnetization: 0.55 μB per formula unit
- Total energy: -3.464 eV per atom